## PmEuCuAu (PBE-GGA)

Data for a geometry-optimized PmEuCuAu structure.

Results
The space-group type is F-43m.

abc: 5.1776 5.1776 5.1776
angles: 60.00 60.00 60.00
Fractional coordinates of all 4 atoms:
Eu1 0.5000 0.5000 0.5000
Pm1 0.0000 0.0000 0.0000
Cu1 0.2500 0.2500 0.2500
Au1 0.7500 0.7500 0.7500

## GdGePt2 (PBE-GGA)

Data for a geometry-optimized GdGePt2 structure.

Results
The space-group type is R-3m.

abc: 4.3568 4.3568 5.4802
angles: 66.58 66.58 60.00
Fractional coordinates of all 4 atoms:
Ge1 0.5000 0.5000 0.5000
Pt1 0.7882 0.7882 0.6353
Pt2 0.2118 0.2118 0.3647
Gd1 0.0000 0.0000 0.0000

## Ti2Al5NiIr2 (PBE-GGA)

Data for a geometry-optimized Ti2Al5NiIr2 structure.

Results
The space-group type is P4/mbm.

abc: 3.9848 8.8609 8.8609
angles: 90.00 90.00 90.00
Fractional coordinates of all 20 atoms:
Al1 0.5000 0.5698 0.6994
Al2 0.5000 0.5000 0.0000
Al3 0.5000 0.6994 0.4302
Al4 0.5000 0.9302 0.1994
Al5 0.5000 0.1994 0.0698
Al6 0.5000 0.3006 0.5698
Al7 0.5000 0.0698 0.8006
Al8 0.5000 0.8006 0.9302
Al9 0.5000 0.4302 0.3006
Al10 0.5000 0.0000 0.5000
Ti1 0.0000 0.8252 0.6748
Ti2 0.0000 0.1748 0.3252
Ti3 0.0000 0.3252 0.8252
Ti4 0.0000 0.6748 0.1748
Ir1 0.0000 0.8785 0.3785
Ir2 0.0000 0.6215 0.8785
Ir3 0.0000 0.3785 0.1215
Ir4 0.0000 0.1215 0.6215
Ni1 0.0000 0.5000 0.5000
Ni2 0.0000 0.0000 0.0000

## Pr6TlPd (PBE-GGA)

Data for a geometry-optimized Pr6TlPd structure.

Results
The space-group type is C2/m.

abc: 7.0749 7.1618 7.1147
angles: 59.78 76.43 62.21
Fractional coordinates of all 8 atoms:
Pr1 0.7427 0.0730 0.4091
Pr2 0.2573 0.5179 0.4091
Pr3 0.2754 0.2670 0.0000
Pr4 0.7427 0.4821 0.5909
Pr5 0.2573 0.9270 0.5909
Pr6 0.7246 0.7330 0.0000
Pd1 0.5000 0.5000 0.0000
Tl1 0.0000 0.0000 0.0000

Number 1: density of states at the Fermi level 2.146 states/eV per atom, energy relative to the elements -42.6 kJ per mole of atoms. Number 2: density of states at the Fermi level 0.605 states/eV per atom, energy relative to the elements -83.7 kJ per mole of atoms. Number 3: density of states at the Fermi level 0.473 states/eV per atom, energy relative to the elements -55.0 kJ per mole of atoms. Number 4: density of states at the Fermi level 1.324 states/eV per atom, energy relative to the elements -5.4 kJ per mole of atoms.